1.
The following is a DFT calculation (PBE-GGA) of an optimized crystal structure of SnBI3.

Electronic total energy: -11.08 eV for the cell shown
ΔE_f (raw): 82.0 kJ per mole of atoms
ΔE to the lowest computed polymorph: 0.306 eV per atom
Magnetization: 0.03 μB per atom

Geometry as CIF:
```
data_SnBI3
_chemical_formula_sum 'Sn1 B1 I3'
_cell_length_a 6.088
_cell_length_b 6.088
_cell_length_c 6.088
_cell_angle_alpha 90.00
_cell_angle_beta 90.00
_cell_angle_gamma 90.00
_space_group_name_H-M_alt 'P 1'
_space_group_IT_number 1
_space_group_name_Hall 'P 1'
loop_
_atom_site_label
_atom_site_fract_x
_atom_site_fract_y
_atom_site_fract_z
Sn1 0.000 0.000 0.000
B1 0.500 0.500 0.500
I1 0.000 0.000 0.500
I2 0.000 0.500 0.000
I3 0.500 0.000 0.000
```

2.
The following is a DFT calculation (PBE-GGA) of an optimized crystal structure of K2AgF.

Electronic total energy: -23.76 eV for the cell shown
ΔE_f (raw): -119.7 kJ per mole of atoms
ΔE to the lowest computed polymorph: 0.000 eV per atom
Magnetization: 0.00 μB per atom

Geometry as CIF:
```
data_K2AgF
_chemical_formula_sum 'K4 Ag2 F2'
_cell_length_a 7.125
_cell_length_b 7.125
_cell_length_c 7.125
_cell_angle_alpha 114.09
_cell_angle_beta 114.09
_cell_angle_gamma 100.59
_space_group_name_H-M_alt 'P 1'
_space_group_IT_number 1
_space_group_name_Hall 'P 1'
loop_
_atom_site_label
_atom_site_fract_x
_atom_site_fract_y
_atom_site_fract_z
K1 0.030 0.625 0.905
K2 0.375 0.280 0.405
K3 0.720 0.125 0.095
K4 0.875 0.970 0.595
Ag1 0.250 0.750 0.500
Ag2 0.500 0.500 0.000
F1 0.000 0.000 0.000
F2 0.750 0.250 0.500
```